# LiVNiO4

Crystalline LiVNiO4 at its relaxed geometry (GGA-PBEsol, Alexandria).

Properties
Formation energy from raw total energies ... -1.860 eV/atom
SG ... Cmcm (63)

```
LiVNiO4
1.0
-1.3533 4.8419 -0.2514
-1.6347 -2.3294 4.1521
5.1344 1.5862 2.9113
Ni V O Li
2 2 8 2
Direct
0.0000 0.0000 0.5000
0.0000 0.0000 0.0000
0.6483 0.3517 0.2500
0.3517 0.6483 0.7500
0.2327 0.7673 0.5276
0.7673 0.2327 0.0276
0.7328 0.7691 0.7500
0.7691 0.7328 0.2500
0.2672 0.2309 0.2500
0.2309 0.2672 0.7500
0.7673 0.2327 0.4724
0.2327 0.7673 0.9724
0.3343 0.6657 0.2500
0.6657 0.3343 0.7500
```

---

# Y2FeCl

Crystalline Y2FeCl at its relaxed geometry (GGA-PBEsol, Alexandria).

Properties
Formation energy from raw total energies ... -0.129 eV/atom
SG ... R3m (160)

```
Y2FeCl
1.0
3.4399 0.0000 0.0000
1.7200 2.9791 0.0000
1.7200 0.9930 9.1846
Cl Fe Y
1 1 2
Direct
0.4992 0.4992 0.5024
0.2492 0.2492 0.2525
0.9889 0.9889 0.0334
0.7627 0.7627 0.7118
```

---

# OsRu3S

Crystalline OsRu3S at its relaxed geometry (GGA-PBEsol, Alexandria).

Properties
Formation energy from raw total energies ... 1.003 eV/atom
SG ... Pm-3m (221)

```
OsRu3S
1.0
-1.8851 -3.5670 1.2006
3.3002 -0.9210 2.4453
-1.8095 2.0363 3.2090
Ru Os S
3 1 1
Direct
0.5000 0.0000 0.0000
0.0000 0.5000 0.0000
0.0000 0.0000 0.5000
0.5000 0.5000 0.5000
0.0000 0.0000 0.0000
```

---

# Pr3Bi4Au3

Crystalline Pr3Bi4Au3 at its relaxed geometry (GGA-PBEsol, Alexandria).

Properties
Formation enthalpy at 0 K ... -0.787 eV per atom
SG ... I-43d (220)

```
Pr3Bi4Au3
1.0
8.8297 0.0000 0.0000
-2.9432 8.3247 0.0000
-2.9432 -4.1623 7.2094
Au Bi Pr
6 8 6
Direct
0.6250 0.2500 0.8750
0.7500 0.1250 0.3750
0.1250 0.8750 0.2500
0.2500 0.3750 0.1250
0.8750 0.7500 0.6250
0.3750 0.6250 0.7500
0.5000 0.6792 0.5000
0.0000 0.5000 0.1792
0.8208 0.8208 0.3208
0.0000 0.5000 0.6792
0.6792 0.0000 0.0000
0.5000 0.1792 0.5000
0.1792 0.0000 0.0000
0.3208 0.3208 0.8208
0.6250 0.3750 0.2500
0.8750 0.1250 0.7500
0.7500 0.6250 0.8750
0.2500 0.8750 0.6250
0.3750 0.7500 0.1250
0.1250 0.2500 0.3750
```

---

# Ba2MnRe

Crystalline Ba2MnRe at its relaxed geometry (GGA-PBEsol, Alexandria).

Properties
Formation enthalpy at 0 K ... 0.716 eV per atom
SG ... P4mm (99)

```
Ba2MnRe
1.0
3.3606 0.0000 0.0000
0.0000 3.3606 0.0000
0.0000 0.0000 9.6851
Mn Ba Re
1 2 1
Direct
0.0000 0.0000 0.5981
0.5000 0.5000 0.3314
0.0000 0.0000 0.9201
0.5000 0.5000 0.6504
```

---

# Sc2Tc

Crystalline Sc2Tc at its relaxed geometry (GGA-PBEsol, Alexandria).

Properties
Formation enthalpy at 0 K ... -0.093 eV per atom
SG ... Fd-3m (227)

```
Sc2Tc
1.0
-6.9913 -4.1617 2.8805
0.7516 -5.8533 6.2982
-3.1013 1.7080 7.8714
Sc Tc
16 8
Direct
0.1250 0.6250 0.1250
0.6250 0.1250 0.1250
0.6965 0.3035 0.6965
0.1250 0.1250 0.1250
0.6965 0.6965 0.3035
0.9465 0.5535 0.5535
0.3035 0.3035 0.6965
0.5535 0.9465 0.5535
0.5535 0.9465 0.9465
0.3035 0.6965 0.3035
0.9465 0.5535 0.9465
0.3035 0.6965 0.6965
0.9465 0.9465 0.5535
0.5535 0.5535 0.9465
0.6965 0.3035 0.3035
0.1250 0.1250 0.6250
0.9908 0.3364 0.3364
0.9136 0.9136 0.2592
0.3364 0.9908 0.3364
0.9136 0.2592 0.9136
0.2592 0.9136 0.9136
0.3364 0.3364 0.3364
0.9136 0.9136 0.9136
0.3364 0.3364 0.9908
```

---

# Y3HfGa

Crystalline Y3HfGa at its relaxed geometry (GGA-PBEsol, Alexandria).

Properties
Formation enthalpy at 0 K ... 0.465 eV per atom
SG ... Pm-3m (221)

```
Y3HfGa
1.0
5.3390 0.0000 0.0000
0.0000 5.3390 0.0000
0.0000 0.0000 5.3390
Ga Y Hf
1 3 1
Direct
0.0000 0.0000 0.0000
0.0000 0.0000 0.5000
0.5000 0.0000 0.0000
0.0000 0.5000 0.0000
0.5000 0.5000 0.5000
```

---

# ZnCdIn2

Crystalline ZnCdIn2 at its relaxed geometry (GGA-PBEsol, Alexandria).

Properties
Formation enthalpy at 0 K ... 0.095 eV per atom
SG ... I-4m2 (119)

```
ZnCdIn2
1.0
4.4596 0.0000 0.0000
0.0000 4.4596 0.0000
-2.2298 -2.2298 4.3317
Zn Cd In
1 1 2
Direct
0.5000 0.5000 0.0000
0.2500 0.7500 0.5000
0.0000 0.0000 0.0000
0.7500 0.2500 0.5000
```

---

# HoBRh3

Crystalline HoBRh3 at its relaxed geometry (GGA-PBEsol, Alexandria).

Properties
Formation enthalpy at 0 K ... -0.812 eV per atom
SG ... Pm-3m (221)

```
HoBRh3
1.0
-2.9903 -0.2226 -2.8439
2.8239 -0.8139 -2.9056
-0.4036 -4.0457 0.7410
B Ho Rh
1 1 3
Direct
0.5000 0.5000 0.5000
0.0000 0.0000 0.0000
0.5000 0.0000 0.5000
0.0000 0.5000 0.5000
0.5000 0.5000 0.0000
```

---

# Cr4Re

Crystalline Cr4Re at its relaxed geometry (GGA-PBEsol, Alexandria).

Properties
Formation enthalpy at 0 K ... 0.095 eV per atom
SG ... P4_2/mnm (136)

```
Cr4Re
1.0
-3.1728 -0.9851 -3.1829
6.2459 0.2015 -6.2885
1.4858 -8.6576 1.1984
Cr Re
24 6
Direct
0.2559 0.8137 0.1863
0.5000 0.9658 0.6235
0.0000 0.1235 0.5342
0.5000 0.4349 0.7658
0.7559 0.6863 0.6863
0.5000 0.3765 0.0342
0.0000 0.0651 0.2658
0.7441 0.1863 0.8137
0.5000 0.5651 0.2342
0.5000 0.6235 0.9658
0.0000 0.8765 0.4658
0.0000 0.5342 0.1235
0.2441 0.3137 0.3137
0.0000 0.7342 0.9349
0.0000 0.9349 0.7342
0.5000 0.2342 0.5651
0.5000 0.0342 0.3765
0.2441 0.6863 0.6863
0.0000 0.2658 0.0651
0.0000 0.4658 0.8765
0.2559 0.1863 0.8137
0.5000 0.7658 0.4349
0.7559 0.3137 0.3137
0.7441 0.8137 0.1863
0.0000 0.3906 0.6094
0.5000 0.5000 0.5000
0.5000 0.1094 0.1094
0.5000 0.8906 0.8906
0.0000 0.6094 0.3906
0.0000 0.0000 0.0000
```

---

# Te3Br

Crystalline Te3Br at its relaxed geometry (GGA-PBEsol, Alexandria).

Properties
Formation energy from raw total energies ... 0.151 eV/atom
SG ... Pmmm (47)

```
Te3Br
1.0
3.6711 0.0000 0.0000
0.0000 4.3186 0.0000
0.0000 0.0000 7.2331
Te Br
3 1
Direct
0.5000 0.5000 0.3025
0.0000 0.0000 0.5000
0.5000 0.5000 0.6975
0.0000 0.0000 0.0000
```

---

# KSb2Se

Crystalline KSb2Se at its relaxed geometry (GGA-PBEsol, Alexandria).

Properties
Formation energy from raw total energies ... 0.036 eV/atom
SG ... Cmmm (65)

```
KSb2Se
1.0
3.4749 0.0443 0.0000
-0.9015 3.3562 0.0000
0.0000 0.0000 9.3789
K Sb Se
1 2 1
Direct
0.5000 0.5000 0.0000
0.0000 0.0000 0.2948
0.0000 0.0000 0.7052
0.5000 0.5000 0.5000
```

---

# ScAs2RhBr

Crystalline ScAs2RhBr at its relaxed geometry (GGA-PBEsol, Alexandria).

Properties
Formation energy from raw total energies ... 0.048 eV/atom
SG ... P4/mmm (123)

```
ScAs2RhBr
1.0
4.7028 0.0000 0.0000
0.0000 4.7028 0.0000
0.0000 0.0000 5.0395
Br As Sc Rh
1 2 1 1
Direct
0.0000 0.0000 0.5000
0.0000 0.5000 0.0000
0.5000 0.0000 0.0000
0.5000 0.5000 0.5000
0.0000 0.0000 0.0000
```

---

# ZrAl2Ni5

Crystalline ZrAl2Ni5 at its relaxed geometry (GGA-PBEsol, Alexandria).

Properties
Formation enthalpy at 0 K ... -0.556 eV per atom
SG ... I4/mmm (139)

```
ZrAl2Ni5
1.0
-2.2986 2.0062 2.2686
-2.3207 -2.9967 0.2988
5.7608 -1.6403 4.1017
Ni Al Zr
5 2 1
Direct
0.3656 0.8656 0.7313
0.1344 0.6344 0.2687
0.5000 0.5000 0.0000
0.6344 0.1344 0.2687
0.8656 0.3656 0.7313
0.7480 0.7480 0.4959
0.2520 0.2520 0.5041
0.0000 0.0000 0.0000
```

---

# SrTa2Br

Crystalline SrTa2Br at its relaxed geometry (GGA-PBEsol, Alexandria).

Properties
Formation energy from raw total energies ... 0.498 eV/atom
SG ... Pmmm (47)

```
SrTa2Br
1.0
-2.9826 -0.0625 -1.2468
0.6824 -4.3498 -1.4145
-2.2448 -2.1332 5.4770
Ta Sr Br
2 1 1
Direct
0.0000 0.0000 0.0000
0.5000 0.5000 0.0000
0.0000 0.5000 0.5000
0.5000 0.0000 0.5000
```

---

# VCr2Si6

Crystalline VCr2Si6 at its relaxed geometry (GGA-PBEsol, Alexandria).

Properties
Formation energy from raw total energies ... -0.501 eV/atom
SG ... C222 (21)

```
VCr2Si6
1.0
-3.7246 -0.2077 2.3805
0.9583 -3.2327 -2.8661
3.0643 -3.1024 4.5239
Cr Si V
2 6 1
Direct
0.0000 0.5000 0.3356
0.5000 0.0000 0.6644
0.8360 0.6698 0.6659
0.3302 0.1640 0.3341
0.1652 0.8348 0.0000
0.6698 0.8360 0.3341
0.1640 0.3302 0.6659
0.8348 0.1652 0.0000
0.5000 0.5000 0.0000
```

---

# BeReAg2

Crystalline BeReAg2 at its relaxed geometry (GGA-PBEsol, Alexandria).

Properties
Formation enthalpy at 0 K ... 0.797 eV per atom
SG ... I-4m2 (119)

```
BeReAg2
1.0
4.3231 0.0000 0.0000
-2.1616 3.7517 0.1093
0.0000 2.3857 3.6052
Ag Re Be
2 1 1
Direct
0.0000 0.0000 0.0000
0.2500 0.5000 0.2500
0.7500 0.5000 0.7500
0.5000 0.0000 0.5000
```

---

# SrLi3

Crystalline SrLi3 at its relaxed geometry (GGA-PBEsol, Alexandria).

Properties
Formation enthalpy at 0 K ... 0.050 eV per atom
SG ... P6_3/mmc (194)

```
SrLi3
1.0
-2.0548 -3.2614 3.6590
-4.7316 -2.3980 -4.7945
6.3435 -3.2274 0.6856
Li Sr
6 2
Direct
0.7500 0.7256 0.8628
0.7500 0.1372 0.8628
0.2500 0.2744 0.1372
0.7500 0.1372 0.2744
0.2500 0.8628 0.7256
0.2500 0.8628 0.1372
0.2500 0.3333 0.6667
0.7500 0.6667 0.3333
```

---

# FeCu2Si

Crystalline FeCu2Si at its relaxed geometry (GGA-PBEsol, Alexandria).

Properties
Formation energy from raw total energies ... -0.112 eV/atom
SG ... Pmmm (47)

```
FeCu2Si
1.0
-2.7307 1.0061 1.7938
-1.8817 -2.4623 -1.4834
0.9287 -2.3583 2.7365
Fe Cu Si
1 2 1
Direct
0.5000 0.0000 0.5000
0.5000 0.5000 0.0000
0.0000 0.0000 0.0000
0.0000 0.5000 0.5000
```

---

# Cu3As

Crystalline Cu3As at its relaxed geometry (GGA-PBEsol, Alexandria).

Properties
Formation enthalpy at 0 K ... 0.014 eV per atom
SG ... I-43d (220)

```
Cu3As
1.0
-0.0055 -2.1222 -7.9387
-5.0084 -5.0007 4.1756
-2.6108 7.7541 0.7643
As Cu
8 24
Direct
0.0617 0.0000 0.0000
0.0000 0.5000 0.0617
0.9383 0.9383 0.4383
0.4383 0.4383 0.9383
0.5000 0.5617 0.5000
0.0000 0.5000 0.5617
0.5000 0.0617 0.5000
0.5617 0.0000 0.0000
0.9101 0.0695 0.2163
0.8063 0.6595 0.0899
0.4101 0.2163 0.0695
0.2163 0.5695 0.9101
0.7837 0.3532 0.1937
0.1595 0.3063 0.5899
0.0899 0.1595 0.8063
0.8405 0.1468 0.9305
0.3405 0.9305 0.1468
0.2837 0.1937 0.3532
0.7163 0.9101 0.5695
0.9305 0.6468 0.8405
0.6468 0.3405 0.4305
0.6937 0.7837 0.8532
0.8532 0.2837 0.6937
0.5695 0.4101 0.7163
0.6595 0.5899 0.3063
0.3063 0.0899 0.6595
0.4305 0.8405 0.6468
0.5899 0.8063 0.1595
0.1468 0.4305 0.3405
0.3532 0.6937 0.2837
0.1937 0.8532 0.7837
0.0695 0.7163 0.4101
```